1.
A relaxed Pm2TaTcN5 crystal. Source: Alexandria via LeMat-Bulk, functional PBE.

Cell: 3.313 6.936 10.467 Å, 90.00 90.00 103.82°
Sites, in units of the cell vectors:
Pm (0.857, 0.714, 0.798)
Pm (0.110, 0.221, 0.696)
Pm (0.143, 0.286, 0.298)
Pm (0.890, 0.779, 0.196)
Ta (0.781, 0.562, 0.512)
Ta (0.219, 0.438, 0.012)
Tc (0.525, 0.050, 0.962)
Tc (0.475, 0.950, 0.462)
N (0.364, 0.728, 0.999)
N (0.681, 0.363, 0.881)
N (0.491, 0.981, 0.784)
N (0.284, 0.568, 0.645)
N (0.953, 0.907, 0.546)
N (0.636, 0.272, 0.499)
N (0.319, 0.637, 0.381)
N (0.509, 0.019, 0.284)
N (0.716, 0.432, 0.145)
N (0.047, 0.093, 0.046)

Properties
ΔE_f (raw) ... -983 meV per atom
Calculated volume ... 12.98 Å³ per atom

2.
A relaxed La2DyZnSe5 crystal. Source: Alexandria via LeMat-Bulk, functional PBE.

Cell: 4.087 9.139 12.633 Å, 90.00 90.00 102.92°
Sites, in units of the cell vectors:
La (0.872, 0.745, 0.827)
La (0.118, 0.236, 0.688)
La (0.128, 0.255, 0.327)
La (0.882, 0.764, 0.188)
Dy (0.806, 0.612, 0.520)
Dy (0.194, 0.388, 0.020)
Zn (0.551, 0.102, 0.938)
Zn (0.449, 0.898, 0.438)
Se (0.353, 0.707, 0.009)
Se (0.687, 0.374, 0.858)
Se (0.494, 0.989, 0.764)
Se (0.295, 0.590, 0.678)
Se (0.965, 0.930, 0.543)
Se (0.647, 0.293, 0.509)
Se (0.313, 0.626, 0.358)
Se (0.506, 0.011, 0.264)
Se (0.705, 0.410, 0.178)
Se (0.035, 0.070, 0.043)

Properties
ΔE_f (raw) ... -1690 meV per atom
Calculated volume ... 25.55 Å³ per atom

3.
A relaxed DyThTl2 crystal. Source: Alexandria via LeMat-Bulk, functional PBE.

Cell: 3.557 3.557 8.903 Å, 90.00 90.00 90.00°
Sites, in units of the cell vectors:
Tl (0.000, 0.000, 0.761)
Tl (0.000, 0.000, 0.239)
Th (0.500, 0.500, 0.500)
Dy (0.500, 0.500, 0.000)

Properties
ΔH_f (0 K) ... -0.2390 eV per atom
Calculated volume ... 28.15 Å³ per atom

4.
A relaxed YScSb crystal. Source: Alexandria via LeMat-Bulk, functional PBE.

Cell: 5.104 5.104 5.104 Å, 60.00 60.00 60.00°
Sites, in units of the cell vectors:
Sb (0.000, 0.000, 0.000)
Sc (0.500, 0.500, 0.500)
Y (0.750, 0.750, 0.750)

Properties
ΔE_f (raw) ... 116 meV per atom
Calculated volume ... 31.34 Å³ per atom

5.
A relaxed Nd6Ge2PtI3 crystal. Source: Alexandria via LeMat-Bulk, functional PBE.

Cell: 4.286 9.323 10.140 Å, 105.90 102.20 90.00°
Sites, in units of the cell vectors:
Nd (0.344, 0.888, 0.689)
Nd (0.678, 0.557, 0.356)
Nd (0.656, 0.112, 0.311)
Nd (0.010, 0.212, 0.020)
Nd (0.990, 0.788, 0.980)
Nd (0.322, 0.443, 0.644)
Ge (0.833, 0.664, 0.667)
Ge (0.167, 0.336, 0.333)
Pt (0.500, 0.000, 0.000)
I (0.500, 0.500, 0.000)
I (0.830, 0.169, 0.660)
I (0.170, 0.831, 0.340)

Properties
ΔE_f (raw) ... -1026 meV per atom
Calculated volume ... 31.68 Å³ per atom

6.
A relaxed SrLaTe2N crystal. Source: Alexandria via LeMat-Bulk, functional PBE.

Cell: 6.019 6.324 6.019 Å, 90.00 90.00 90.00°
Sites, in units of the cell vectors:
Sr (0.000, 0.000, 0.000)
N (0.500, 0.500, 0.500)
Te (0.000, 0.000, 0.500)
Te (0.500, 0.000, 0.000)
La (0.000, 0.500, 0.000)

Properties
ΔE_f (raw) ... 1131 meV per atom
Excess energy over the best structure of this formula in the dataset ... 170.1 kJ per mole of atoms
Calculated volume ... 45.83 Å³ per atom

7.
A relaxed NaHNF2 crystal. Source: Alexandria via LeMat-Bulk, functional PBE.

Cell: 4.369 4.369 5.242 Å, 90.00 90.00 90.00°
Sites, in units of the cell vectors:
Na (0.000, 0.000, 0.000)
N (0.000, 0.000, 0.500)
H (0.500, 0.500, 0.500)
F (0.000, 0.500, 0.000)
F (0.500, 0.000, 0.000)

Properties
Excess energy over the best structure of this formula in the dataset ... 85.9 kJ per mole of atoms
Calculated volume ... 20.01 Å³ per atom

8.
A relaxed TaBeCr2 crystal. Source: Alexandria via LeMat-Bulk, functional PBE.

Cell: 4.440 4.440 4.241 Å, 75.27 75.27 39.24°
Sites, in units of the cell vectors:
Cr (0.989, 0.989, 0.050)
Cr (0.511, 0.511, 0.450)
Be (0.250, 0.250, 0.250)
Ta (0.750, 0.750, 0.750)

Properties
ΔH_f (0 K) ... 0.1392 eV per atom
Calculated volume ... 12.73 Å³ per atom

9.
A relaxed CeNdS2O crystal. Source: Alexandria via LeMat-Bulk, functional PBE.

Cell: 3.966 3.966 14.109 Å, 90.00 90.00 90.00°
Sites, in units of the cell vectors:
Ce (0.500, 0.000, 0.589)
Ce (0.000, 0.500, 0.411)
Nd (0.500, 0.000, 0.122)
Nd (0.000, 0.500, 0.878)
S (0.000, 0.500, 0.687)
S (0.000, 0.500, 0.093)
S (0.500, 0.000, 0.907)
S (0.500, 0.000, 0.313)
O (0.000, 0.000, 0.500)
O (0.500, 0.500, 0.500)

Properties
ΔE_f (raw) ... -2518 meV per atom
Calculated volume ... 22.19 Å³ per atom

10.
A relaxed SrCoIr2 crystal. Source: Alexandria via LeMat-Bulk, functional PBE.

Cell: 4.750 4.750 4.750 Å, 124.57 124.57 82.25°
Sites, in units of the cell vectors:
Co (0.750, 0.250, 0.500)
Ir (0.000, 0.000, 0.000)
Ir (0.250, 0.750, 0.500)
Sr (0.500, 0.500, 0.000)

Properties
ΔH_f (0 K) ... 0.6535 eV per atom
Excess energy over the best structure of this formula in the dataset ... 70.0 kJ per mole of atoms
Calculated volume ... 17.46 Å³ per atom

11.
A relaxed AcCuAu crystal. Source: Alexandria via LeMat-Bulk, functional PBE.

Cell: 4.114 4.580 4.580 Å, 120.00 90.00 90.00°
Sites, in units of the cell vectors:
Ac (0.667, 0.333, 0.667)
Au (0.167, 0.000, 0.000)
Cu (0.167, 0.667, 0.333)

Properties
ΔH_f (0 K) ... -0.5715 eV per atom
Excess energy over the best structure of this formula in the dataset ... 0.0 kJ per mole of atoms
Calculated volume ... 24.91 Å³ per atom

Quick rundown of VASP energy, same order as above: -164.4 -96.7 -17.7 -16.6 -60.9 -15.6 -13.8 -34.3 -73.0 -23.9 -13.2 eV/cell
Quick rundown of Fermi-level density of states, same order as above: 0.378 0.151 0.915 2.182 0.647 1.643 1.007 0.753 1.351 1.728 0.581 states/eV/atom